{"formula": "Ca2InSe", "functional": "meta-GGA SCAN", "state": "single point on PBEsol structure", "energy_ev_per_cell": -77.012, "relative_energy_mev_per_atom": 182.1, "formation_energy_uncorrected_ev_per_atom": -1.055, "dos_at_fermi_per_ev_cell": 1.73, "sg": "P4mm, No. 99", "cell": [[3.8884, 0.0000, 0.0000], [0.0000, 3.8884, 0.0000], [0.0000, 0.0000, 8.5313]], "species": ["Ca", "Ca", "In", "Se"], "frac_coords": [[0.0000, 0.0000, 0.0000], [0.5000, 0.5000, 0.4156], [0.0000, 0.0000, 0.6164], [0.5000, 0.5000, 0.0856]]}


{"formula": "CaIn2Si", "functional": "meta-GGA SCAN", "state": "single point on PBEsol structure", "energy_ev_per_cell": -86.719, "formation_energy_uncorrected_ev_per_atom": -0.067, "dos_at_fermi_per_ev_cell": 1.94, "sg": "P2/m, No. 10", "cell": [[3.4214, 0.0000, 0.0000], [0.0000, 5.0344, 0.0000], [-0.6431, 0.0000, 5.4663]], "species": ["Ca", "In", "In", "Si"], "frac_coords": [[0.0000, 0.0000, 0.0000], [0.3519, 0.5000, 0.7345], [0.6481, 0.5000, 0.2655], [0.5000, 0.0000, 0.5000]]}


{"formula": "CaInSn3", "functional": "meta-GGA SCAN", "state": "single point on PBEsol structure", "energy_ev_per_cell": -149.425, "relative_energy_mev_per_atom": 0.0, "formation_energy_ev_per_atom": 0.278, "dos_at_fermi_per_ev_cell": 2.88, "sg": "Pm-3m, No. 221", "cell": [[5.5242, 0.0000, 0.0000], [0.0000, 5.5242, 0.0000], [0.0000, 0.0000, 5.5242]], "species": ["Ca", "In", "Sn", "Sn", "Sn"], "frac_coords": [[0.0000, 0.0000, 0.0000], [0.5000, 0.5000, 0.5000], [0.0000, 0.5000, 0.5000], [0.5000, 0.0000, 0.5000], [0.5000, 0.5000, 0.0000]]}


{"formula": "Ca2InSn", "functional": "meta-GGA SCAN", "state": "single point on PBEsol structure", "energy_ev_per_cell": -91.237, "formation_energy_ev_per_atom": -0.651, "dos_at_fermi_per_ev_cell": 2.01, "sg": "Fm-3m, No. 225", "cell": [[0.0000, 3.7870, 3.7870], [3.7870, 0.0000, 3.7870], [3.7870, 3.7870, 0.0000]], "species": ["Ca", "Ca", "In", "Sn"], "frac_coords": [[0.2500, 0.2500, 0.2500], [0.7500, 0.7500, 0.7500], [0.0000, 0.0000, 0.0000], [0.5000, 0.5000, 0.5000]]}


{"formula": "CaInSn3", "functional": "meta-GGA SCAN", "state": "single point on PBEsol structure", "energy_ev_per_cell": -147.660, "relative_energy_mev_per_atom": 353.1, "formation_energy_ev_per_atom": 0.631, "dos_at_fermi_per_ev_cell": 3.82, "sg": "Pm-3m, No. 221", "cell": [[5.6424, 0.0000, 0.0000], [0.0000, 5.6424, 0.0000], [0.0000, 0.0000, 5.6424]], "species": ["Ca", "In", "Sn", "Sn", "Sn"], "frac_coords": [[0.0000, 0.0000, 0.0000], [0.5000, 0.5000, 0.5000], [0.0000, 0.0000, 0.5000], [0.0000, 0.5000, 0.0000], [0.5000, 0.0000, 0.0000]]}


{"formula": "Ca2In2Sn", "functional": "meta-GGA SCAN", "state": "single point on PBEsol structure", "energy_ev_per_cell": -122.452, "formation_energy_ev_per_atom": -0.086, "dos_at_fermi_per_ev_cell": 2.73, "sg": "I4/mmm, No. 139", "cell": [[-2.4294, 2.4294, 6.5513], [2.4294, -2.4294, 6.5513], [2.4294, 2.4294, -6.5513]], "species": ["Ca", "Ca", "In", "In", "Sn"], "frac_coords": [[0.2500, 0.7500, 0.5000], [0.7500, 0.2500, 0.5000], [0.0998, 0.0998, 0.0000], [0.9002, 0.9002, 0.0000], [0.5000, 0.5000, 0.0000]]}


{"formula": "CaTaIn2Sn", "functional": "meta-GGA SCAN", "state": "single point on PBEsol structure", "energy_ev_per_cell": -175.153, "formation_energy_ev_per_atom": 0.758, "dos_at_fermi_per_ev_cell": 3.35, "sg": "P4/mmm, No. 123", "cell": [[5.3426, 0.0000, 0.0000], [0.0000, 5.3426, 0.0000], [0.0000, 0.0000, 5.3616]], "species": ["Ca", "Ta", "In", "In", "Sn"], "frac_coords": [[0.0000, 0.0000, 0.0000], [0.0000, 0.0000, 0.5000], [0.0000, 0.5000, 0.5000], [0.5000, 0.0000, 0.5000], [0.5000, 0.5000, 0.0000]]}


{"formula": "SrCa2In", "functional": "meta-GGA SCAN", "state": "single point on PBEsol structure", "energy_ev_per_cell": -75.980, "formation_energy_ev_per_atom": -0.248, "dos_at_fermi_per_ev_cell": 4.63, "sg": "Pmmm, No. 47", "cell": [[4.6362, 0.0000, 0.0000], [0.0000, 5.3696, 0.0000], [0.0000, 0.0000, 5.4243]], "species": ["Sr", "Ca", "Ca", "In"], "frac_coords": [[0.0000, 0.0000, 0.0000], [0.0000, 0.5000, 0.5000], [0.5000, 0.0000, 0.5000], [0.5000, 0.5000, 0.0000]]}